# NaCuSiH6 | Alexandria via LeMat-Bulk | PBE | relaxed
data_NaCuSiH6
_chemical_formula_sum 'Na1 Cu1 Si1 H6'
_space_group_name_H-M_alt 'P 3 1 2'
_space_group_IT_number 149
_cell_length_a 4.5449
_cell_length_b 4.5449
_cell_length_c 4.9130
_cell_angle_alpha 90.00
_cell_angle_beta 90.00
_cell_angle_gamma 120.00
loop_
_space_group_symop_operation_xyz
'x,y,z'
'-y,x-y,z'
'-x+y,-x,z'
'-y,-x,-z'
'-x+y,y,-z'
'x,x-y,-z'
loop_
_atom_site_label
_atom_site_type_symbol
_atom_site_fract_x
_atom_site_fract_y
_atom_site_fract_z
Na1 Na 0.0000 0.0000 0.0000
Cu1 Cu 0.3333 0.6667 0.5000
Si1 Si 0.6667 0.3333 0.5000
H1 H 0.3775 0.0323 0.6903
# - E_tot (eV/atom) = -3.34
# - crystal system = trigonal